Compound: Cs2SrHCl6
Source: the Alexandria database
Functional: GGA-PBE
Structure: relaxed

Cell lengths 7.0487, 7.0487, 8.3416 Å; angles 65.01, 65.01, 90.00 degrees
Site moments in Bohr magnetons follow the coordinates.
Positions (direct):
Cl1 0.7885 0.7885 0.4231  0.01
H1 0.5000 0.5000 0.0000  0.00
Cs1 0.2500 0.7500 0.5000  0.00
Cl2 0.2115 0.2115 0.5769  0.01
Cl3 0.2930 0.7070 0.0000  0.16
Sr1 0.0000 0.0000 0.0000  0.00
Cl4 0.7070 0.2930 0.0000  0.16
Cl5 0.7070 0.7070 0.0000  0.16
Cl6 0.2930 0.2930 0.0000  0.16
Cs2 0.7500 0.2500 0.5000  0.00

Computed properties:
DOS(E_F) = 1.1721 states/eV per atom
final energy = -3.114 eV/atom
symmetry = I4/mmm, No. 139

Compound: MgSeSCl2
Source: the Alexandria database
Functional: GGA-PBE
Structure: relaxed

Cell lengths 5.0267, 5.0267, 4.9621 Å; angles 90.00, 90.00, 90.00 degrees
Positions (direct):
Se1 0.0000 0.0000 0.0000
Cl1 0.5000 0.0000 0.0000
Mg1 0.5000 0.5000 0.5000
S1 0.0000 0.0000 0.5000
Cl2 0.0000 0.5000 0.0000

Computed properties:
DOS(E_F) = 0.8848 states/eV per atom
final energy = -2.605 eV/atom
formation energy (no corrections) = -0.0245 eV/atom
relative energy among the computed polymorphs = 255 meV/atom
symmetry = P4/mmm, No. 123

Compound: CeRe2
Source: the Alexandria database
Functional: GGA-PBE
Structure: relaxed

Cell lengths 3.0589, 3.0589, 6.4875 Å; angles 103.64, 103.64, 90.00 degrees
Positions (direct):
Ce1 0.0000 0.0000 0.0000
Re1 0.6928 0.6928 0.3855
Re2 0.3072 0.3072 0.6145

Computed properties:
DOS(E_F) = 1.4114 states/eV per atom
final energy = -10.225 eV/atom
energy relative to the elements = 0.052 eV/atom
symmetry = I4/mmm, No. 139

Compound: HgBiOsO6
Source: the Alexandria database
Functional: GGA-PBE
Structure: relaxed

Cell lengths 5.6459, 5.6458, 4.7648 Å; angles 89.97, 90.04, 59.98 degrees
Positions (direct):
O1 0.0466 0.3461 0.2718
O2 0.6076 0.3457 0.7282
O3 0.3461 0.0466 0.7281
O4 0.3456 0.6076 0.2718
Hg1 0.9999 0.9999 0.0000
Bi1 0.6666 0.6666 0.5000
Os1 0.3333 0.3333 0.5000
O5 0.0469 0.6072 0.7279
O6 0.6072 0.0470 0.2721

Computed properties:
DOS(E_F) = 0.4594 states/eV per atom
final energy = -5.822 eV/atom
formation energy (no corrections) = -0.8039 eV/atom
symmetry = C2, No. 5

Compound: TbEr2Ga2Cu2
Source: the Alexandria database
Functional: GGA-PBE
Structure: relaxed

Cell lengths 4.3699, 4.3699, 9.4016 Å; angles 76.56, 76.56, 60.00 degrees
Positions (direct):
Er1 0.1245 0.1245 0.6265
Cu1 0.4006 0.4006 0.7982
Er2 0.8755 0.8755 0.3735
Tb1 0.0000 0.0000 0.0000
Cu2 0.5994 0.5994 0.2018
Ga1 0.7381 0.7381 0.7858
Ga2 0.2619 0.2619 0.2142

Computed properties:
DOS(E_F) = 0.5751 states/eV per atom
final energy = -4.398 eV/atom
energy relative to the elements = -0.398 eV/atom
symmetry = R-3m, No. 166

Compound: ZrBeSb2I
Source: the Alexandria database
Functional: GGA-PBE
Structure: relaxed

Cell lengths 5.6008, 5.6008, 5.7004 Å; angles 90.00, 90.00, 90.00 degrees
Positions (direct):
Be1 0.5000 0.5000 0.5000
I1 0.0000 0.0000 0.5000
Sb1 0.0000 0.5000 0.0000
Zr1 0.0000 0.0000 0.0000
Sb2 0.5000 0.0000 0.0000

Computed properties:
DOS(E_F) = 0.9669 states/eV per atom
final energy = -3.739 eV/atom
formation energy (no corrections) = 0.6745 eV/atom
relative energy among the computed polymorphs = 160 meV/atom
symmetry = P4/mmm, No. 123

Compound: PaSe2S
Source: the Alexandria database
Functional: GGA-PBE
Structure: relaxed

Cell lengths 3.9966, 5.3633, 9.1966 Å; angles 90.00, 90.00, 111.88 degrees
Positions (direct):
Pa1 0.2276 0.4552 0.2500
Se1 0.6285 0.2570 0.4593
S1 0.9093 0.8185 0.2500
Se2 0.3715 0.7430 0.9593
Se3 0.3715 0.7430 0.5407
Se4 0.6285 0.2570 0.0407
S2 0.0907 0.1815 0.7500
Pa2 0.7724 0.5448 0.7500

Computed properties:
DOS(E_F) = 0.7476 states/eV per atom
final energy = -6.260 eV/atom
formation energy (no corrections) = -1.1118 eV/atom
symmetry = Cmcm, No. 63

Compound: OsSeCl2
Source: the Alexandria database
Functional: GGA-PBE
Structure: relaxed

Cell lengths 4.5606, 4.5606, 4.5606 Å; angles 119.95, 119.95, 90.08 degrees
Positions (direct):
Os1 0.5000 0.5000 0.0000
Cl1 0.2500 0.7500 0.5000
Se1 0.7500 0.2500 0.5000
Cl2 0.0000 0.0000 0.0000

Computed properties:
DOS(E_F) = 1.1075 states/eV per atom
final energy = -3.655 eV/atom
formation energy (no corrections) = 0.9468 eV/atom
relative energy among the computed polymorphs = 1062 meV/atom
symmetry = I-4m2, No. 119